Tm4Cd3Ag: optimized geometry, PBE.

The structure in POSCAR format:
```
Tm4Cd3Ag
1.0
-2.8072 2.1686 0.2392
-2.9451 -3.6772 -1.2235
-1.1955 -2.7894 11.2615
Tm Cd Ag
4 3 1
direct
0.5000 0.5000 0.3341
0.0000 0.5000 0.8475
0.0000 0.0000 0.1538
0.5000 0.0000 0.6627
0.0000 0.5000 0.5751
0.0000 0.0000 0.4241
0.5000 0.0000 0.9277
0.5000 0.5000 0.0750
```

Summary:
E_form (eV per atom): -0.25
Density of states at the Fermi level (states/eV/atom): 0.9687
Final energy (eV per formula unit): -25.5
Space-group type: Pmm2, No. 25
Size of the total moment (μB/f.u.): 0.0

WAuBr: optimized geometry, PBE.

The structure in POSCAR format:
```
WAuBr
1.0
-3.2937 -0.7681 -2.8301
-3.9534 -1.2479 1.5038
-3.4177 2.7789 -0.2126
Au Br W
1 1 1
direct
0.5000 0.5000 0.5000
0.7500 0.7500 0.7500
0.0000 0.0000 0.0000
```

Summary:
Density of states at the Fermi level (states/eV/atom): 1.3829
Formation energy without anion corrections (eV/f.u.): 5.20
Final energy (eV per formula unit): -12.7
Space-group type: F-43m, No. 216
Size of the total moment (μB/f.u.): 0.0

CaScTiFe2: optimized geometry, PBE.

The structure in POSCAR format:
```
CaScTiFe2
1.0
4.4098 0.0000 0.0000
0.0000 4.9634 0.0000
0.0000 0.0000 4.4098
Sc Ca Fe Ti
1 1 2 1
direct
0.0000 0.0000 0.0000
0.0000 0.5000 0.0000
0.0000 0.0000 0.5000
0.5000 0.0000 0.0000
0.5000 0.5000 0.5000
```

Summary:
E_form (eV per atom): 1.43
Density of states at the Fermi level (states/eV/atom): 2.1370
Final energy (eV per formula unit): -26.0
Space-group type: P4/mmm, No. 123
Size of the total moment (μB/f.u.): 1.5

Er2Al5Rh3: optimized geometry, PBE.

The structure in POSCAR format:
```
Er2Al5Rh3
1.0
4.1643 0.0000 -0.7094
0.0000 6.7729 0.0000
-0.0063 0.0000 12.5408
Er Al Rh
4 10 6
direct
0.4766 0.7844 0.9531
0.1755 0.7091 0.3509
0.8245 0.2091 0.6491
0.5234 0.2844 0.0469
0.4006 0.4077 0.8011
0.2884 0.4979 0.5768
0.7116 0.9979 0.4232
0.1288 0.2456 0.2577
0.2931 0.8912 0.5863
0.9449 0.1144 0.8897
0.7069 0.3912 0.4137
0.8712 0.7456 0.7423
0.0551 0.6144 0.1103
0.5994 0.9077 0.1989
0.7702 0.6916 0.5405
0.6097 0.5265 0.2195
0.0471 0.9965 0.0943
0.2298 0.1916 0.4595
0.9529 0.4965 0.9057
0.3903 0.0265 0.7805
```

Summary:
E_form (eV per atom): -0.83
Density of states at the Fermi level (states/eV/atom): 0.5071
Final energy (eV per formula unit): -58.2
Space-group type: Cmc2_1, No. 36
Size of the total moment (μB/f.u.): 0.0

SrMgZnPt2: optimized geometry, PBE.

The structure in POSCAR format:
```
SrMgZnPt2
1.0
-2.0529 1.4324 3.4090
-3.6692 -0.3058 -2.0811
2.2239 -6.0789 1.2699
Sr Mg Zn Pt
1 1 1 2
direct
0.0000 0.0000 0.0000
0.7500 0.2500 0.5000
0.2500 0.7500 0.5000
0.6136 0.6136 0.2272
0.3864 0.3864 0.7728
```

Summary:
E_form (eV per atom): -0.76
Density of states at the Fermi level (states/eV/atom): 0.3640
Final energy (eV per formula unit): -20.4
Space-group type: I-4m2, No. 119
Size of the total moment (μB/f.u.): 0.0

V2As2Au: optimized geometry, PBE.

The structure in POSCAR format:
```
V2As2Au
1.0
-5.5186 -4.4558 -0.7529
4.4815 -5.5490 -0.0081
-0.2519 -0.2079 3.0764
As Au V
4 2 4
direct
0.3496 0.8496 0.0000
0.8496 0.6504 0.0000
0.6504 0.1504 0.0000
0.1504 0.3496 0.0000
0.0000 0.0000 0.0000
0.5000 0.5000 0.0000
0.1367 0.6367 0.5000
0.6367 0.8633 0.5000
0.8633 0.3633 0.5000
0.3633 0.1367 0.5000
```

Summary:
E_form (eV per atom): -0.10
Density of states at the Fermi level (states/eV/atom): 0.7025
Final energy (eV per formula unit): -31.3
Space-group type: P4/mbm, No. 127
Size of the total moment (μB/f.u.): 0.0